No. 1
The following is a DFT calculation (PBE) of a relaxed structure of La9TbY2.

CIF file:
```
data_La9TbY2
_chemical_formula_sum 'La9 Tb1 Y2'
_cell_length_a 5.2128
_cell_length_b 5.2128
_cell_length_c 15.6404
_cell_angle_alpha 90.00
_cell_angle_beta 90.00
_cell_angle_gamma 90.00
_space_group_name_H-M_alt 'P 4/m m m'
_space_group_IT_number 123
_space_group_name_Hall '-P 4 2'
loop_
_atom_site_label
_atom_site_fract_x
_atom_site_fract_y
_atom_site_fract_z
La1 0.0000 0.0000 0.0000
La2 0.0000 0.0000 0.3329
La3 0.0000 0.5000 0.1661
La4 0.0000 0.5000 0.5000
Tb1 0.5000 0.5000 0.0000
Y1 0.5000 0.5000 0.3333
```

Values from the calculation:
ΔH_f (0 K) = 0.01 eV per atom
DOS(E_F) = 15.75 states/eV/cell

No. 2
The following is a DFT calculation (PBE) of a relaxed structure of AlCdFe2.

CIF file:
```
data_AlCdFe2
_chemical_formula_sum 'Al2 Cd2 Fe4'
_cell_length_a 5.4074
_cell_length_b 7.8534
_cell_length_c 2.7224
_cell_angle_alpha 90.00
_cell_angle_beta 91.11
_cell_angle_gamma 90.00
_space_group_name_H-M_alt 'C 1 2/m 1'
_space_group_IT_number 12
loop_
_space_group_symop_operation_xyz
'x,y,z'
'-x,-y,-z'
'-x,y,-z'
'x,-y,z'
'x+1/2,y+1/2,z'
'-x+1/2,-y+1/2,-z'
'-x+1/2,y+1/2,-z'
'x+1/2,-y+1/2,z'
loop_
_atom_site_label
_atom_site_fract_x
_atom_site_fract_y
_atom_site_fract_z
Al1 0.0000 0.0000 0.0000
Cd1 0.0000 0.5000 0.0000
Fe1 0.2500 0.2500 0.5000
```

Values from the calculation:
ΔH_f (0 K) = 0.13 eV per atom
Energy relative to the lowest polymorph listed for this composition = 0.085 eV/atom
DOS(E_F) = 5.01 states/eV/cell

No. 3
The following is a DFT calculation (PBE) of a relaxed structure of LaZr2Ni.

CIF file:
```
data_LaZr2Ni
_chemical_formula_sum 'La1 Zr2 Ni1'
_cell_length_a 3.5051
_cell_length_b 4.4988
_cell_length_c 6.0011
_cell_angle_alpha 90.00
_cell_angle_beta 106.77
_cell_angle_gamma 90.00
_space_group_name_H-M_alt 'P 1 2/m 1'
_space_group_IT_number 10
loop_
_space_group_symop_operation_xyz
'x,y,z'
'-x,-y,-z'
'-x,y,-z'
'x,-y,z'
loop_
_atom_site_label
_atom_site_fract_x
_atom_site_fract_y
_atom_site_fract_z
La1 0.0000 0.0000 0.0000
Zr1 0.3140 0.5000 0.7108
Ni1 0.5000 0.0000 0.5000
```

Values from the calculation:
ΔH_f (0 K) = 0.11 eV per atom
Energy relative to the lowest polymorph listed for this composition = 0.230 eV/atom
DOS(E_F) = 3.96 states/eV/cell

No. 4
The following is a DFT calculation (PBE) of a relaxed structure of Dy2Ho.

CIF file:
```
data_Dy2Ho
_chemical_formula_sum 'Dy8 Ho4'
_cell_length_a 12.8369
_cell_length_b 3.6095
_cell_length_c 8.3875
_cell_angle_alpha 90.00
_cell_angle_beta 102.77
_cell_angle_gamma 90.00
_space_group_name_H-M_alt 'C 1 2/m 1'
_space_group_IT_number 12
loop_
_space_group_symop_operation_xyz
'x,y,z'
'-x,-y,-z'
'-x,y,-z'
'x,-y,z'
'x+1/2,y+1/2,z'
'-x+1/2,-y+1/2,-z'
'-x+1/2,y+1/2,-z'
'x+1/2,-y+1/2,z'
loop_
_atom_site_label
_atom_site_fract_x
_atom_site_fract_y
_atom_site_fract_z
Dy1 0.0279 0.0000 0.3046
Dy2 0.1943 0.5000 0.6391
Ho1 0.1390 0.5000 0.0273
```

Values from the calculation:
ΔH_f (0 K) = 0.01 eV per atom
Energy relative to the lowest polymorph listed for this composition = 0.000 eV/atom
DOS(E_F) = 20.66 states/eV/cell